{
  "formula": "MnNO2F",
  "functional": "PBE+U",
  "state": "optimized geometry",
  "lattice": [[3.955, 0.000, 0.000], [0.000, 3.955, 0.000], [0.000, 0.000, 3.488]],
  "species": ["Mn", "N", "O", "O", "F"],
  "fractional_positions": [[0.000, 0.000, 0.000], [0.500, 0.500, 0.000], [0.000, 0.500, 0.500], [0.500, 0.000, 0.500], [0.500, 0.500, 0.500]],
  "rho_g_cm3": 3.65,
  "dos_at_fermi_per_ev_atom": 0.396,
  "total_energy_ev_per_cell": -21.60
}